First-principles (PBE) data for a geometry-optimized SrZr2Sc structure, as listed in Alexandria via LeMat-Bulk.

a = 3.274 Å, b = 3.274 Å, c = 10.183 Å
α = 90.00°, β = 90.00°, γ = 90.09°
Positions (direct):
Sc 0.500 0.500 0.250
Sr 0.500 0.500 0.750
Zr 0.000 0.000 0.037
Zr 0.000 0.000 0.463

Properties
**DOS at the Fermi energy**: 1.897 states/eV per atom
**DFT formation energy**: 0.32 eV per atom
**Energy relative to the lowest polymorph listed for this composition**: 0.30 eV per formula unit
**Electronic total energy**: -0.2191 Ha/atom